NaSr2Sn4Pt3 | GGA-PBE | optimized geometry

electronic total energy: -4.52 eV per atom
formation enthalpy at 0 K: -638 meV/atom

abc: 4.690 4.690 11.199
angles: 90.00 90.00 90.00
Fractional positions:
Sr  0.000  0.500  0.754
Na  0.500  0.500  0.500
Pt  0.500  0.000  0.876
Pt  0.000  0.000  0.500
Pt  0.000  0.500  0.124
Sn  0.000  0.500  0.360
Sr  0.500  0.000  0.246
Sn  0.500  0.000  0.640
Sn  0.000  0.000  0.000
Sn  0.500  0.500  0.000

=====

SrCd5AgPd2 | GGA-PBE | optimized geometry

electronic total energy: -2.33 eV per atom
formation enthalpy at 0 K: -159 meV/atom

abc: 5.260 5.260 7.918
angles: 90.00 90.00 90.00
Fractional positions:
Cd  0.500  0.000  0.804
Pd  0.500  0.500  0.830
Cd  0.500  0.000  0.196
Cd  0.500  0.500  0.500
Ag  0.000  0.000  0.000
Cd  0.000  0.500  0.804
Sr  0.000  0.000  0.500
Cd  0.000  0.500  0.196
Pd  0.500  0.500  0.170

=====

Pr2Y6Ho3 | GGA-PBE | optimized geometry

relative energy among the computed polymorphs: 96 meV/atom
electronic total energy: -5.36 eV per atom
formation enthalpy at 0 K: 280 meV/atom

abc: 4.750 4.750 17.150
angles: 97.96 97.96 90.00
Fractional positions:
Y  0.301  0.301  0.603
Y  0.122  0.622  0.245
Y  0.378  0.878  0.755
Y  0.699  0.699  0.397
Ho  0.801  0.801  0.601
Ho  0.000  0.000  0.000
Y  0.622  0.122  0.245
Pr  0.454  0.454  0.909
Pr  0.546  0.546  0.091
Y  0.878  0.378  0.755
Ho  0.199  0.199  0.399

=====

La6Os2PdI3 | GGA-PBE | optimized geometry

formation energy (no corrections): -840 meV per atom
electronic total energy: -6.00 eV per atom

abc: 7.389 7.389 8.627
angles: 98.19 98.19 120.00
Fractional positions:
Os  0.667  0.333  0.000
La  0.288  0.288  0.814
La  0.712  0.712  0.186
Os  0.333  0.667  0.000
I  0.834  0.166  0.500
La  0.938  0.588  0.813
Pd  0.000  0.000  0.000
La  0.412  0.062  0.187
La  0.062  0.412  0.187
I  0.500  0.500  0.500
I  0.166  0.834  0.500
La  0.588  0.938  0.813

=====

ZrReBi3 | GGA-PBE | optimized geometry

relative energy among the computed polymorphs: 358 meV/atom
electronic total energy: -5.08 eV per atom
formation enthalpy at 0 K: 1447 meV/atom

abc: 5.621 5.621 5.621
angles: 90.00 90.00 90.00
Each line ends with the local moment (μB).
Fractional positions:
Re  0.500  0.500  0.500  3.80
Bi  0.000  0.000  0.500  -0.19
Bi  0.500  0.000  0.000  -0.09
Zr  0.000  0.000  0.000  0.20
Bi  0.000  0.500  0.000  -0.11

=====

Ca2AgAs | GGA-PBE | optimized geometry

electronic total energy: -3.58 eV per atom
formation enthalpy at 0 K: -706 meV/atom

abc: 8.096 5.044 3.821
angles: 90.01 61.82 128.59
Fractional positions:
Ca  0.000  0.000  0.000
Ag  0.000  0.500  0.500
Ca  0.500  0.000  0.500
As  0.500  0.500  0.000

=====

Re3PS | GGA-PBE | optimized geometry

formation energy (no corrections): 1357 meV per atom
relative energy among the computed polymorphs: 0 meV/atom
electronic total energy: -8.02 eV per atom

abc: 4.369 4.369 4.369
angles: 90.00 90.00 90.00
Fractional positions:
Re  0.000  0.000  0.500
Re  0.000  0.500  0.000
Re  0.500  0.000  0.000
S  0.000  0.000  0.000
P  0.500  0.500  0.500

=====

KBe2Se | GGA-PBE | optimized geometry

formation energy (no corrections): 489 meV per atom
electronic total energy: -2.52 eV per atom

abc: 7.546 7.546 6.168
angles: 52.28 52.28 90.00
Fractional positions:
K  0.500  0.500  0.000
Be  0.029  0.625  0.250
K  0.250  0.750  0.500
Be  0.875  0.971  0.750
Se  0.000  0.000  0.000
Be  0.721  0.125  0.250
Se  0.750  0.250  0.500
Be  0.375  0.279  0.750

=====

K4InP | GGA-PBE | optimized geometry

electronic total energy: -1.67 eV per atom
formation enthalpy at 0 K: 420 meV/atom

abc: 6.933 6.933 6.933
angles: 60.00 60.00 60.00
Fractional positions:
K  0.870  0.377  0.377
K  0.377  0.377  0.377
In  0.000  0.000  0.000
K  0.377  0.870  0.377
K  0.377  0.377  0.870
P  0.750  0.750  0.750

=====

ScPd3I | GGA-PBE | optimized geometry

formation energy (no corrections): 329 meV per atom
relative energy among the computed polymorphs: 0 meV/atom
electronic total energy: -4.36 eV per atom

abc: 4.907 4.907 4.907
angles: 90.00 90.00 90.00
Fractional positions:
Pd  0.500  0.000  0.000
Pd  0.000  0.000  0.500
I  0.500  0.500  0.500
Pd  0.000  0.500  0.000
Sc  0.000  0.000  0.000

=====

Ba2NaSbS | GGA-PBE | optimized geometry

formation energy (no corrections): -1167 meV per atom
electronic total energy: -3.85 eV per atom

abc: 6.060 6.060 5.165
angles: 90.00 90.00 90.00
Fractional positions:
S  0.000  0.000  0.000
Na  0.000  0.000  0.500
Ba  0.000  0.500  0.000
Ba  0.500  0.000  0.000
Sb  0.500  0.500  0.500

=====

PrHo4Er5 | GGA-PBE | optimized geometry

relative energy among the computed polymorphs: 245 meV/atom
electronic total energy: -4.28 eV per atom
formation enthalpy at 0 K: 308 meV/atom

abc: 6.275 7.832 7.832
angles: 80.77 66.39 66.39
Fractional positions:
Ho  0.505  0.599  0.299
Er  0.679  0.000  0.000
Ho  0.402  0.401  0.701
Pr  0.223  0.000  0.000
Er  0.714  0.091  0.378
Er  0.183  0.909  0.622
Er  0.093  0.622  0.091
Ho  0.103  0.299  0.401
Er  0.805  0.378  0.909
Ho  0.803  0.701  0.599